# Ba2EuBi

A relaxed Ba2EuBi crystal (GGA-PBE, the Alexandria database).

a b c (Å): 4.7094 4.7094 8.0835
angles (deg): 90.00 90.00 90.00
Element x y z (fractional)
Ba 0.0000 0.0000 0.2854
Bi 0.5000 0.5000 0.5000
Eu 0.5000 0.5000 0.0000
Ba 0.0000 0.0000 0.7146

Calculated values
Space-group type = P4/mmm
DOS(E_F) = 2.08 states/eV/f.u.
Total magnetization = 8.2 μB per cell
Offset from the most stable computed form = 0.000 eV/atom